1.
Below is crystalline GdHO2 at its relaxed geometry, with properties calculated at the PBE-GGA level.

Cell: 3.6054 3.6054 13.8338 Å, 90.00 90.00 120.00°
With the nearest neighbours (Å) after each atom.
Space group R-3m (No. 166, hexagonal axes)
Inequivalent atoms, fractional coordinates:
1 Gd 0.0000 0.0000 0.0000 (multiplicity 3)  6 O 2.35
2 H 0.0000 0.0000 0.5000 (multiplicity 3)  2 O 1.22
3 O 0.0000 0.0000 0.4115 (multiplicity 6)  1 H 1.22

Calculated density ... 6.09 g/cm³
VASP energy ... -9.344 eV/atom

---

2.
Below is crystalline K3Pb2Cl7 at its relaxed geometry, with properties calculated at the PBE-GGA level.

Cell: 5.6938 5.6938 27.2303 Å, 90.00 90.00 90.00°
With the nearest neighbours (Å) after each atom.
Space group I4/mmm (No. 139)
Inequivalent atoms, fractional coordinates:
1 K 0.0000 0.0000 0.0000 (multiplicity 2)  12 Cl 4.01-4.03
2 K 0.0000 0.0000 0.1802 (multiplicity 4)  1 Cl 3.02
3 Pb 0.0000 0.0000 0.3930 (multiplicity 4)  6 Cl 2.78-2.91
4 Cl 0.0000 0.0000 0.2910 (multiplicity 4)  1 Pb 2.78, 1 K 3.02
5 Cl 0.0000 0.0000 0.5000 (multiplicity 2)  2 Pb 2.91
6 Cl 0.0000 0.5000 0.1037 (multiplicity 8)  2 Pb 2.85

Calculated density ... 2.93 g/cm³
VASP energy ... -3.474 eV/atom

---

3.
Below is crystalline LiPtRh2 at its relaxed geometry, with properties calculated at the PBE-GGA level.

Cell: 5.3313 7.8420 2.6925 Å, 90.00 90.00 90.00°
With the nearest neighbours (Å) after each atom.
Space group Cmmm (No. 65)
Inequivalent atoms, fractional coordinates:
1 Li 0.0000 0.0000 0.0000 (multiplicity 2)  2 Pt 2.67, 2 Li 2.69, 8 Rh 2.73
2 Pt 0.0000 0.5000 0.0000 (multiplicity 2)  2 Li 2.67, 2 Pt 2.69, 8 Rh 2.73
3 Rh 0.2500 0.2500 0.5000 (multiplicity 4)  4 Rh 2.67-2.69, 4 Li 2.73, 4 Pt 2.73

Calculated density ... 12.03 g/cm³
ΔE to the lowest computed polymorph ... 0.064 eV/atom
Formation enthalpy at 0 K ... -195 meV/atom

---

4.
Below is crystalline MnTeRu2 at its relaxed geometry, with properties calculated at the PBE-GGA level.

Cell: 5.4487 5.4487 11.3490 Å, 90.00 90.00 90.00°
With the nearest neighbours (Å) after each atom.
Space group I-42d (No. 122)
Inequivalent atoms, fractional coordinates:
1 Mn 0.0000 0.0000 0.0000 (multiplicity 4)  4 Ru 2.23
2 Te 0.0000 0.0000 0.5000 (multiplicity 4)  4 Ru 2.58
3 Ru 0.1944 0.2500 0.1250 (multiplicity 8)  2 Mn 2.23

Calculated density ... 7.58 g/cm³
VASP energy ... -7.024 eV/atom

---

5.
Below is crystalline CaVCdBr2 at its relaxed geometry, with properties calculated at the PBE-GGA level.

Cell: 5.4759 5.4759 6.3716 Å, 90.00 90.00 90.00°
With the nearest neighbours (Å) after each atom.
Space group P4/mmm (No. 123)
Inequivalent atoms, fractional coordinates:
1 Ca 0.0000 0.0000 0.0000 (multiplicity 1)  2 Cd 3.19
2 V 0.5000 0.5000 0.0000 (multiplicity 1)  4 Ca 3.87, 8 Br 4.20
3 Cd 0.0000 0.0000 0.5000 (multiplicity 1)  4 Br 2.74
4 Br 0.0000 0.5000 0.5000 (multiplicity 2)  2 Cd 2.74

Calculated density ... 3.16 g/cm³
VASP energy ... -2.570 eV/atom

---

6.
Below is crystalline TaTi4Al3 at its relaxed geometry, with properties calculated at the PBE-GGA level.

Cell: 22.2148 2.8663 4.4221 Å, 90.00 97.88 90.00°
With the nearest neighbours (Å) after each atom.
Space group C2/m (No. 12)
Inequivalent atoms, fractional coordinates:
1 Ta 0.0000 0.0000 0.0000 (multiplicity 2)  4 Al 2.63, 2 Ti 2.83, 2 Ta 2.87
2 Ti 0.0991 0.0000 0.6598 (multiplicity 4)  3 Ti 2.57-2.87, 4 Al 2.64-2.86, 1 Ta 2.83
3 Ti 0.2161 0.0000 0.7273 (multiplicity 4)  3 Ti 2.57-2.87
4 Al 0.0000 0.5000 0.5000 (multiplicity 2)  4 Ta 2.63, 4 Ti 2.64, 2 Al 2.87
5 Al 0.1527 0.5000 0.1899 (multiplicity 4)  9 Ti 2.86-3.00, 2 Al 2.87

Calculated density ... 5.40 g/cm³
ΔE to the lowest computed polymorph ... 0.346 eV/atom
Formation enthalpy at 0 K ... 37 meV/atom